1.
KCaLa2: relaxed, GGA-PBE.

Cell lengths 3.671, 6.682, 6.993 Å; angles 90.00, 94.58, 90.00 degrees
Space group P2/m (No. 10)
Unique sites:
K: 0.000 0.000 0.000 x1
Ca: 0.500 0.000 0.500 x1
La: 0.230 0.500 0.714 x2

Results
VASP energy, eV/cell: -11.867
Formation enthalpy at 0 K, eV per atom: 0.2717
DOS at the Fermi energy, states/eV per cell: 5.49

=====

2.
K2CaLa: relaxed, GGA-PBE.

Cell lengths 3.927, 6.812, 14.779 Å; angles 90.00, 90.00, 90.00 degrees
Space group Immm (No. 71)
Unique sites:
K: 0.000 0.000 0.244 x4
Ca: 0.000 0.500 0.500 x2
La: 0.000 0.500 0.000 x2

Results
VASP energy, eV/cell: -15.556
Formation enthalpy at 0 K, eV per atom: 0.3365
DOS at the Fermi energy, states/eV per cell: 10.48

=====

3.
KCaLa2: relaxed, GGA-PBE.

Cell lengths 12.843, 3.689, 7.298 Å; angles 90.00, 98.67, 90.00 degrees
Space group Cm (No. 8)
Unique sites:
K: 0.000 0.000 0.000 x2
Ca: 0.260 0.500 0.248 x2
La: 0.013 0.500 0.514 x2
La: 0.236 0.000 0.692 x2

Results
VASP energy, eV/cell: -23.636
Formation enthalpy at 0 K, eV per atom: 0.2840
DOS at the Fermi energy, states/eV per cell: 10.84

=====

4.
KCaLa2: relaxed, GGA-PBE.

Cell lengths 3.959, 6.322, 6.742 Å; angles 90.00, 90.00, 90.00 degrees
Space group Pmmm (No. 47)
Unique sites:
K: 0.000 0.000 0.000 x1
Ca: 0.500 0.500 0.000 x1
La: 0.000 0.500 0.500 x1
La: 0.500 0.000 0.500 x1

Results
VASP energy, eV/cell: -11.737
Formation enthalpy at 0 K, eV per atom: 0.3042
DOS at the Fermi energy, states/eV per cell: 6.15

=====

5.
K2CaLa: relaxed, GGA-PBE.

Cell lengths 5.333, 5.333, 6.976 Å; angles 90.00, 90.00, 90.00 degrees
Space group P4/mmm (No. 123)
Unique sites:
K: 0.000 0.500 0.000 x2
Ca: 0.000 0.000 0.500 x1
La: 0.500 0.500 0.500 x1

Results
VASP energy, eV/cell: -7.489
Formation enthalpy at 0 K, eV per atom: 0.4089
DOS at the Fermi energy, states/eV per cell: 6.91

=====

6.
K2CaLa: relaxed, GGA-PBE.

Cell lengths 3.896, 7.397, 14.195 Å; angles 90.00, 90.00, 90.00 degrees
Space group Imm2 (No. 44)
Unique sites:
K: 0.000 0.000 0.000 x2
K: 0.000 0.500 0.247 x2
Ca: 0.000 0.000 0.490 x2
La: 0.000 0.500 0.764 x2

Results
VASP energy, eV/cell: -15.066
Formation enthalpy at 0 K, eV per atom: 0.3977
DOS at the Fermi energy, states/eV per cell: 11.44

=====

7.
K2CaLa: relaxed, GGA-PBE.

Cell lengths 9.293, 9.293, 9.293 Å; angles 90.00, 90.00, 90.00 degrees
Space group Fm-3m (No. 225)
Unique sites:
K: 0.250 0.250 0.250 x8
Ca: 0.000 0.000 0.000 x4
La: 0.000 0.000 0.500 x4

Results
VASP energy, eV/cell: -27.965
Formation enthalpy at 0 K, eV per atom: 0.5332
DOS at the Fermi energy, states/eV per cell: 32.72

=====

8.
KCaLa2: relaxed, GGA-PBE.

Cell lengths 3.960, 6.344, 13.512 Å; angles 90.00, 90.00, 90.00 degrees
Space group Immm (No. 71)
Unique sites:
K: 0.000 0.000 0.000 x2
Ca: 0.000 0.000 0.500 x2
La: 0.000 0.500 0.240 x4

Results
VASP energy, eV/cell: -23.516
Formation enthalpy at 0 K, eV per atom: 0.2990
DOS at the Fermi energy, states/eV per cell: 12.08

=====

9.
KCaLa2: relaxed, GGA-PBE.

Cell lengths 7.406, 12.621, 3.650 Å; angles 90.00, 90.00, 90.00 degrees
Space group Cmmm (No. 65)
Unique sites:
K: 0.000 0.000 0.000 x2
Ca: 0.000 0.500 0.000 x2
La: 0.250 0.250 0.500 x4

Results
VASP energy, eV/cell: -23.019
Formation enthalpy at 0 K, eV per atom: 0.3611
DOS at the Fermi energy, states/eV per cell: 14.35

=====

10.
KCaLa: relaxed, GGA-PBE.

Cell lengths 3.785, 3.785, 19.511 Å; angles 90.00, 90.00, 90.00 degrees
Space group I4mm (No. 107)
Unique sites:
K: 0.000 0.000 0.000 x2
Ca: 0.000 0.000 0.318 x2
La: 0.000 0.000 0.678 x2

Results
VASP energy, eV/cell: -14.586
Formation enthalpy at 0 K, eV per atom: 0.2444
DOS at the Fermi energy, states/eV per cell: 10.17

=====

11.
KCa3La: relaxed, GGA-PBE.

Cell lengths 6.517, 6.517, 6.517 Å; angles 90.00, 90.00, 90.00 degrees
Space group Pm-3m (No. 221)
Unique sites:
K: 0.000 0.000 0.000 x1
Ca: 0.000 0.500 0.500 x3
La: 0.500 0.500 0.500 x1

Results
VASP energy, eV/cell: -8.778
Formation enthalpy at 0 K, eV per atom: 0.6504
DOS at the Fermi energy, states/eV per cell: 9.60

=====

12.
KCaLa2: relaxed, GGA-PBE.

Cell lengths 13.564, 3.703, 6.857 Å; angles 90.00, 96.05, 90.00 degrees
Space group C2/m (No. 12)
Unique sites:
K: 0.000 0.000 0.000 x2
Ca: 0.000 0.500 0.500 x2
La: 0.248 0.000 0.716 x4

Results
VASP energy, eV/cell: -23.742
Formation enthalpy at 0 K, eV per atom: 0.2708
DOS at the Fermi energy, states/eV per cell: 11.88

=====

13.
K4CaLa: relaxed, GGA-PBE.

Cell lengths 10.949, 10.949, 10.949 Å; angles 90.00, 90.00, 90.00 degrees
Space group F-43m (No. 216)
Unique sites:
K: 0.125 0.125 0.125 x16
Ca: 0.000 0.000 0.500 x4
La: 0.250 0.250 0.750 x4

Results
VASP energy, eV/cell: -34.953
Formation enthalpy at 0 K, eV per atom: 0.4301
DOS at the Fermi energy, states/eV per cell: 45.75

=====

14.
KCaLa: relaxed, GGA-PBE.

Cell lengths 8.802, 8.802, 8.802 Å; angles 90.00, 90.00, 90.00 degrees
Space group F-43m (No. 216)
Unique sites:
K: 0.000 0.000 0.000 x4
Ca: 0.250 0.250 0.250 x4
La: 0.000 0.000 0.500 x4

Results
VASP energy, eV/cell: -21.919
Formation enthalpy at 0 K, eV per atom: 0.8489
DOS at the Fermi energy, states/eV per cell: 34.66

=====

15.
KCaLa2: relaxed, GGA-PBE.

Cell lengths 4.010, 6.202, 13.662 Å; angles 90.00, 90.00, 90.00 degrees
Space group Cmmm (No. 65)
Unique sites:
K: 0.000 0.000 0.000 x2
Ca: 0.000 0.000 0.500 x2
La: 0.000 0.500 0.272 x4

Results
VASP energy, eV/cell: -24.136
Formation enthalpy at 0 K, eV per atom: 0.2215
DOS at the Fermi energy, states/eV per cell: 10.42

=====

16.
KCaLa3: relaxed, GGA-PBE.

Cell lengths 6.180, 6.180, 6.180 Å; angles 90.00, 90.00, 90.00 degrees
Space group Pm-3m (No. 221)
Unique sites:
K: 0.000 0.000 0.000 x1
Ca: 0.500 0.500 0.500 x1
La: 0.000 0.500 0.500 x3

Results
VASP energy, eV/cell: -14.189
Formation enthalpy at 0 K, eV per atom: 0.7384
DOS at the Fermi energy, states/eV per cell: 5.92

=====

17.
K2CaLa: relaxed, GGA-PBE.

Cell lengths 13.468, 3.753, 8.064 Å; angles 90.00, 94.27, 90.00 degrees
Space group Cm (No. 8)
Unique sites:
K: 0.000 0.000 0.000 x2
K: 0.245 0.000 0.753 x2
Ca: 0.255 0.500 0.293 x2
La: 0.493 0.000 0.470 x2

Results
VASP energy, eV/cell: -15.601
Formation enthalpy at 0 K, eV per atom: 0.3309
DOS at the Fermi energy, states/eV per cell: 8.87

=====

18.
K2CaLa: relaxed, GGA-PBE.

Cell lengths 4.056, 6.570, 14.694 Å; angles 90.00, 90.00, 90.00 degrees
Space group Cmmm (No. 65)
Unique sites:
K: 0.000 0.000 0.249 x4
Ca: 0.000 0.500 0.500 x2
La: 0.000 0.500 0.000 x2

Results
VASP energy, eV/cell: -15.944
Formation enthalpy at 0 K, eV per atom: 0.2880
DOS at the Fermi energy, states/eV per cell: 9.78

=====

19.
KCaLa: relaxed, GGA-PBE.

Cell lengths 21.057, 3.869, 6.698 Å; angles 90.00, 90.00, 90.00 degrees
Space group Amm2 (No. 38)
Unique sites:
K: 0.177 0.000 0.000 x4
Ca: 0.000 0.000 0.667 x2
Ca: 0.500 0.000 0.999 x2
La: 0.354 0.000 0.665 x4

Results
VASP energy, eV/cell: -29.652
Formation enthalpy at 0 K, eV per atom: 0.2045
DOS at the Fermi energy, states/eV per cell: 15.71

=====

20.
KCaLa2: relaxed, GGA-PBE.

Cell lengths 4.085, 6.339, 13.518 Å; angles 90.00, 90.00, 90.00 degrees
Space group Cmm2 (No. 35)
Unique sites:
K: 0.000 0.000 0.000 x2
Ca: 0.000 0.500 0.277 x2
La: 0.000 0.000 0.516 x2
La: 0.000 0.500 0.722 x2

Results
VASP energy, eV/cell: -24.528
Formation enthalpy at 0 K, eV per atom: 0.1724
DOS at the Fermi energy, states/eV per cell: 11.67

=====

21.
K2CaLa: relaxed, GGA-PBE.

Cell lengths 7.754, 14.027, 3.668 Å; angles 90.00, 90.00, 90.00 degrees
Space group Cmmm (No. 65)
Unique sites:
K: 0.250 0.250 0.000 x4
Ca: 0.000 0.000 0.500 x2
La: 0.000 0.500 0.500 x2

Results
VASP energy, eV/cell: -15.312
Formation enthalpy at 0 K, eV per atom: 0.3670
DOS at the Fermi energy, states/eV per cell: 8.34

=====

22.
KCaLa2: relaxed, GGA-PBE.

Cell lengths 6.589, 6.589, 3.922 Å; angles 90.00, 90.00, 90.00 degrees
Space group P4/mmm (No. 123)
Unique sites:
K: 0.000 0.000 0.000 x1
Ca: 0.500 0.500 0.000 x1
La: 0.000 0.500 0.500 x2

Results
VASP energy, eV/cell: -11.279
Formation enthalpy at 0 K, eV per atom: 0.4188
DOS at the Fermi energy, states/eV per cell: 5.79

=====

23.
KCaLa2: relaxed, GGA-PBE.

Cell lengths 3.7921, 3.7921, 41.1600 Å; angles 90.00, 90.00, 120.00 degrees
Space group R-3m (No. 166, hexagonal axes)
Unique sites:
K: 0.0000 0.0000 0.0000 x3
Ca: 0.0000 0.0000 0.5000 x3
La: 0.0000 0.0000 0.2422 x6

Results
VASP energy, eV/cell: -36.337
Formation enthalpy at 0 K, eV per atom: 0.2104
DOS at the Fermi energy, states/eV per cell: 17.48

=====

24.
K2CaLa: relaxed, GGA-PBE.

Cell lengths 4.029, 4.063, 12.296 Å; angles 90.00, 90.10, 90.00 degrees
Space group Pm (No. 6)
Unique sites:
K: 0.000 0.000 0.000 x1
K: 0.499 0.500 0.712 x1
Ca: 0.000 0.000 0.458 x1
La: 0.499 0.500 0.260 x1

Results
VASP energy, eV/cell: -8.222
Formation enthalpy at 0 K, eV per atom: 0.2256
DOS at the Fermi energy, states/eV per cell: 5.91

=====

25.
K2CaLa: relaxed, GGA-PBE.

Cell lengths 14.685, 3.812, 7.065 Å; angles 90.00, 95.25, 90.00 degrees
Space group C2/m (No. 12)
Unique sites:
K: 0.249 0.000 0.250 x4
Ca: 0.000 0.500 0.000 x2
La: 0.000 0.000 0.500 x2

Results
VASP energy, eV/cell: -15.752
Formation enthalpy at 0 K, eV per atom: 0.3121
DOS at the Fermi energy, states/eV per cell: 7.06

=====

26.
KCaLa2: relaxed, GGA-PBE.

Cell lengths 5.251, 5.251, 12.436 Å; angles 90.00, 90.00, 90.00 degrees
Space group I4/mmm (No. 139)
Unique sites:
K: 0.000 0.000 0.000 x2
Ca: 0.000 0.000 0.500 x2
La: 0.000 0.500 0.250 x4

Results
VASP energy, eV/cell: -22.842
Formation enthalpy at 0 K, eV per atom: 0.3833
DOS at the Fermi energy, states/eV per cell: 14.29

=====

27.
KCaLa2: relaxed, GGA-PBE.

Cell lengths 3.816, 6.816, 13.147 Å; angles 90.00, 90.00, 90.00 degrees
Space group Imm2 (No. 44)
Unique sites:
K: 0.000 0.000 0.000 x2
Ca: 0.000 0.500 0.761 x2
La: 0.000 0.000 0.518 x2
La: 0.000 0.500 0.231 x2

Results
VASP energy, eV/cell: -23.327
Formation enthalpy at 0 K, eV per atom: 0.3226
DOS at the Fermi energy, states/eV per cell: 10.36

=====

28.
KCaLa2: relaxed, GGA-PBE.

Cell lengths 4.955, 4.955, 27.709 Å; angles 90.00, 90.00, 90.00 degrees
Space group I-42d (No. 122)
Unique sites:
K: 0.000 0.000 0.000 x4
Ca: 0.000 0.000 0.500 x4
La: 0.241 0.250 0.625 x8

Results
VASP energy, eV/cell: -43.713
Formation enthalpy at 0 K, eV per atom: 0.5064
DOS at the Fermi energy, states/eV per cell: 18.81

=====

29.
K2CaLa: relaxed, GGA-PBE.

Cell lengths 5.337, 5.337, 13.927 Å; angles 90.00, 90.00, 90.00 degrees
Space group I4/mmm (No. 139)
Unique sites:
K: 0.000 0.500 0.250 x4
Ca: 0.000 0.000 0.000 x2
La: 0.000 0.000 0.500 x2

Results
VASP energy, eV/cell: -14.935
Formation enthalpy at 0 K, eV per atom: 0.4142
DOS at the Fermi energy, states/eV per cell: 14.27

=====

30.
K2CaLa: relaxed, GGA-PBE.

Cell lengths 4.367, 6.425, 14.201 Å; angles 90.00, 90.00, 90.00 degrees
Space group Cmm2 (No. 35)
Unique sites:
K: 0.000 0.000 0.000 x2
K: 0.000 0.500 0.286 x2
Ca: 0.000 0.500 0.747 x2
La: 0.000 0.000 0.540 x2

Results
VASP energy, eV/cell: -16.732
Formation enthalpy at 0 K, eV per atom: 0.1896
DOS at the Fermi energy, states/eV per cell: 8.18